The following is a DFT calculation (GGA-PBE) of a relaxed CeEu2ZrO6 crystal.

Summary:
The formation energy (no corrections) comes out at -3.035 eV/atom.

Lattice parameters (Å, degrees): 6.0932 6.0932 6.0932 60.00 60.00 60.00
Last column: magnetic moment on the atom in μB.
Sites, in units of the cell vectors:
Eu: 0.7500 0.7500 0.7500  6.86
Eu: 0.2500 0.2500 0.2500  6.86
O: 0.2569 0.7431 0.7431  -0.02
O: 0.7431 0.2569 0.2569  -0.02
O: 0.7431 0.7431 0.2569  -0.02
O: 0.7431 0.2569 0.7431  -0.02
O: 0.2569 0.2569 0.7431  -0.02
O: 0.2569 0.7431 0.2569  -0.02
Ce: 0.0000 0.0000 0.0000  0.15
Zr: 0.5000 0.5000 0.5000  0.01


The following is a DFT calculation (GGA-PBE) of a relaxed AcTl2Hg2S4 crystal.

Summary:
The formation energy (no corrections) comes out at -0.649 eV/atom.

Lattice parameters (Å, degrees): 4.2750 8.4485 8.0208 112.45 90.00 104.66
Sites, in units of the cell vectors:
Tl: 0.1241 0.2481 0.5563
Tl: 0.8759 0.7519 0.4437
S: 0.5325 0.0650 0.7737
S: 0.4675 0.9350 0.2263
S: 0.8033 0.6065 0.7580
S: 0.1967 0.3935 0.2420
Hg: 0.3059 0.6117 0.9642
Hg: 0.6941 0.3883 0.0358
Ac: 0.0000 0.0000 0.0000


The following is a DFT calculation (GGA-PBE) of a relaxed Sr2AcSmS4 crystal.

Summary:
The formation energy (no corrections) comes out at -2.035 eV/atom.

Lattice parameters (Å, degrees): 4.1914 7.2596 7.3677 109.12 90.00 90.00
Sites, in units of the cell vectors:
Sr: 0.5000 0.0000 0.5000
Sr: 0.0000 0.5000 0.5000
S: 0.5000 0.7622 0.7589
S: 0.0000 0.7594 0.2479
S: 0.5000 0.2378 0.2411
S: 0.0000 0.2406 0.7521
Sm: 0.0000 0.0000 0.0000
Ac: 0.5000 0.5000 0.0000


The following is a DFT calculation (GGA-PBE) of a relaxed Th4Tl2Co crystal.

Summary:
The formation energy is 17 meV per atom.

Lattice parameters (Å, degrees): 3.5878 9.4161 6.7015 110.90 90.00 90.00
Sites, in units of the cell vectors:
Th: 0.5000 0.0710 0.3396
Th: 0.0000 0.4089 0.2390
Th: 0.0000 0.7339 0.9040
Th: 0.5000 0.0719 0.8033
Co: 0.0000 0.0714 0.0714
Tl: 0.5000 0.4099 0.7402
Tl: 0.5000 0.7329 0.4028


The following is a DFT calculation (GGA-PBE) of a relaxed Ac4Te2RuS crystal.

Summary:
The formation energy (no corrections) comes out at -1.270 eV/atom.

Lattice parameters (Å, degrees): 4.4242 7.8298 8.1751 107.09 90.00 90.00
Sites, in units of the cell vectors:
Ac: 0.0000 0.2729 0.7903
Ac: 0.0000 0.7271 0.2097
Ac: 0.5000 0.2550 0.2141
Ac: 0.5000 0.7450 0.7859
S: 0.0000 0.0000 0.0000
Te: 0.0000 0.5000 0.5000
Te: 0.5000 0.0000 0.5000
Ru: 0.5000 0.5000 0.0000


The following is a DFT calculation (GGA-PBE) of a relaxed MnCI2 crystal.

Summary:
The formation energy (no corrections) comes out at 2.128 eV/atom. The calculation puts the energy relative to the lowest polymorph listed for this composition at 324 meV/atom.

Lattice parameters (Å, degrees): 4.6722 4.6722 4.6722 60.00 60.00 60.00
Sites, in units of the cell vectors:
I: 0.2500 0.2500 0.2500
I: 0.7500 0.7500 0.7500
C: 0.0000 0.0000 0.0000
Mn: 0.5000 0.5000 0.5000